*1*
Here is ZrZnAs3 after structural relaxation from Alexandria. Energies are from PBE-GGA.

Geometry as CIF:
```
data_ZrZnAs3
_chemical_formula_sum 'Zr1 Zn1 As3'
_cell_length_a 5.190
_cell_length_b 5.190
_cell_length_c 5.190
_cell_angle_alpha 90.00
_cell_angle_beta 90.00
_cell_angle_gamma 90.00
_symmetry_space_group_name_H-M 'P 1'
_symmetry_Int_Tables_number 1
loop_
_symmetry_equiv_pos_as_xyz
'x,y,z'
loop_
_atom_site_label
_atom_site_type_symbol
_atom_site_fract_x
_atom_site_fract_y
_atom_site_fract_z
As1 As 0.000 0.500 0.000
As2 As 0.000 0.000 0.500
As3 As 0.500 0.000 0.000
Zn1 Zn 0.500 0.500 0.500
Zr1 Zr 0.000 0.000 0.000
```

V = 27.96 Å³/atom
DOS at the Fermi energy = 4.3 states/eV/cell
space group = Pm-3m, No. 221
ρ = 4.5 g cm⁻³

*2*
Here is ZrZnAs3 after structural relaxation from Alexandria. Energies are from PBE-GGA.

Geometry as CIF:
```
data_ZrZnAs3
_chemical_formula_sum 'Zr1 Zn1 As3'
_cell_length_a 4.766
_cell_length_b 4.766
_cell_length_c 4.766
_cell_angle_alpha 90.00
_cell_angle_beta 90.00
_cell_angle_gamma 90.00
_symmetry_space_group_name_H-M 'P 1'
_symmetry_Int_Tables_number 1
loop_
_symmetry_equiv_pos_as_xyz
'x,y,z'
loop_
_atom_site_label
_atom_site_type_symbol
_atom_site_fract_x
_atom_site_fract_y
_atom_site_fract_z
As1 As 0.000 0.500 0.000
As2 As 0.000 0.000 0.500
As3 As 0.500 0.000 0.000
Zn1 Zn 0.000 0.000 0.000
Zr1 Zr 0.500 0.500 0.500
```

V = 21.65 Å³/atom
DOS at the Fermi energy = 3.7 states/eV/cell
space group = Pm-3m, No. 221
ρ = 5.9 g cm⁻³

*1* takes first place; second place is 14.4 kJ/mol of atoms up.

*1*
Here is Zr5As after structural relaxation from Alexandria. Energies are from PBE-GGA.

Geometry as CIF:
```
data_Zr5As
_chemical_formula_sum 'Zr5 As1'
_cell_length_a 3.575
_cell_length_b 3.575
_cell_length_c 10.091
_cell_angle_alpha 90.00
_cell_angle_beta 90.00
_cell_angle_gamma 90.00
_symmetry_space_group_name_H-M 'P 1'
_symmetry_Int_Tables_number 1
loop_
_symmetry_equiv_pos_as_xyz
'x,y,z'
loop_
_atom_site_label
_atom_site_type_symbol
_atom_site_fract_x
_atom_site_fract_y
_atom_site_fract_z
Zr1 Zr 0.000 0.000 0.856
Zr2 Zr 0.000 0.000 0.144
Zr3 Zr 0.500 0.500 0.677
Zr4 Zr 0.500 0.500 0.323
Zr5 Zr 0.000 0.000 0.500
As1 As 0.500 0.500 0.000
```

V = 21.49 Å³/atom
DOS at the Fermi energy = 9.2 states/eV/cell
space group = P4/mmm, No. 123
ρ = 6.8 g cm⁻³

*2*
Here is Zr5As after structural relaxation from Alexandria. Energies are from PBE-GGA.

Geometry as CIF:
```
data_Zr5As
_chemical_formula_sum 'Zr5 As1'
_cell_length_a 7.297
_cell_length_b 7.297
_cell_length_c 4.507
_cell_angle_alpha 90.00
_cell_angle_beta 90.00
_cell_angle_gamma 147.70
_symmetry_space_group_name_H-M 'P 1'
_symmetry_Int_Tables_number 1
loop_
_symmetry_equiv_pos_as_xyz
'x,y,z'
loop_
_atom_site_label
_atom_site_type_symbol
_atom_site_fract_x
_atom_site_fract_y
_atom_site_fract_z
Zr1 Zr 0.333 0.667 0.500
Zr2 Zr 0.160 0.840 0.000
Zr3 Zr 0.000 0.000 0.500
Zr4 Zr 0.840 0.160 0.000
Zr5 Zr 0.667 0.333 0.500
As1 As 0.500 0.500 0.000
```

V = 21.37 Å³/atom
DOS at the Fermi energy = 6.4 states/eV/cell
space group = Cmmm, No. 65
ρ = 6.9 g cm⁻³

*1* takes first place; second place is 6.6 kJ/mol of atoms up.

*1*
Here is Zr5As after structural relaxation from Alexandria. Energies are from PBE-GGA.

Geometry as CIF:
```
data_Zr5As
_chemical_formula_sum 'Zr5 As1'
_cell_length_a 5.475
_cell_length_b 5.475
_cell_length_c 5.013
_cell_angle_alpha 90.00
_cell_angle_beta 90.00
_cell_angle_gamma 120.00
_symmetry_space_group_name_H-M 'P 1'
_symmetry_Int_Tables_number 1
loop_
_symmetry_equiv_pos_as_xyz
'x,y,z'
loop_
_atom_site_label
_atom_site_type_symbol
_atom_site_fract_x
_atom_site_fract_y
_atom_site_fract_z
Zr1 Zr 0.687 0.000 0.000
Zr2 Zr 0.313 0.313 0.000
Zr3 Zr 0.000 0.687 0.000
Zr4 Zr 0.667 0.333 0.500
Zr5 Zr 0.333 0.667 0.500
As1 As 0.000 0.000 0.500
```

V = 21.69 Å³/atom
DOS at the Fermi energy = 6.0 states/eV/cell
space group = P-62m, No. 189
ρ = 6.8 g cm⁻³

*2*
Here is Zr5As after structural relaxation from Alexandria. Energies are from PBE-GGA.

Geometry as CIF:
```
data_Zr5As
_chemical_formula_sum 'Zr5 As1'
_cell_length_a 5.512
_cell_length_b 5.512
_cell_length_c 7.667
_cell_angle_alpha 78.91
_cell_angle_beta 78.91
_cell_angle_gamma 36.06
_symmetry_space_group_name_H-M 'P 1'
_symmetry_Int_Tables_number 1
loop_
_symmetry_equiv_pos_as_xyz
'x,y,z'
loop_
_atom_site_label
_atom_site_type_symbol
_atom_site_fract_x
_atom_site_fract_y
_atom_site_fract_z
Zr1 Zr 0.725 0.725 0.624
Zr2 Zr 0.329 0.329 0.290
Zr3 Zr 0.431 0.431 0.777
Zr4 Zr 0.042 0.042 0.402
Zr5 Zr 0.678 0.678 0.026
As1 As 0.963 0.963 0.048
```

V = 22.38 Å³/atom
DOS at the Fermi energy = 6.5 states/eV/cell
space group = Cm, No. 8
ρ = 6.6 g cm⁻³

*2* takes first place; second place is 11.4 kJ/mol of atoms up.